# NaSrHg4

An optimized crystal structure of NaSrHg4 (GGA-PBE, Alexandria).

The energy above the most stable polymorph in this dataset is 82 meV/atom. The value obtained for the energy of formation from the pure elements is -1.61 eV/f.u.

```
data_NaSrHg4
_chemical_formula_sum 'Na4 Sr4 Hg16'
_cell_length_a 8.696
_cell_length_b 8.696
_cell_length_c 8.696
_cell_angle_alpha 90.00
_cell_angle_beta 90.00
_cell_angle_gamma 90.00
_space_group_name_H-M_alt 'F -4 3 m'
_space_group_IT_number 216
_space_group_name_Hall 'F -4 2 3'
loop_
_atom_site_label
_atom_site_type_symbol
_atom_site_fract_x
_atom_site_fract_y
_atom_site_fract_z
_atom_site_occupancy
Na1 Na 0.000 0.000 0.000 1
Sr1 Sr 0.250 0.250 0.250 1
Hg1 Hg 0.125 0.125 0.625 1
```

=====

# Sr2LaGeBr

An optimized crystal structure of Sr2LaGeBr (GGA-PBE, Alexandria).

The calculation puts the uncorrected formation energy at 9.1 kJ per mole of atoms.

```
data_Sr2LaGeBr
_chemical_formula_sum 'Sr2 La1 Ge1 Br1'
_cell_length_a 6.133
_cell_length_b 6.133
_cell_length_c 5.715
_cell_angle_alpha 90.00
_cell_angle_beta 90.00
_cell_angle_gamma 90.00
_space_group_name_H-M_alt 'P 4/m m m'
_space_group_IT_number 123
_space_group_name_Hall '-P 4 2'
loop_
_atom_site_label
_atom_site_type_symbol
_atom_site_fract_x
_atom_site_fract_y
_atom_site_fract_z
_atom_site_occupancy
Sr1 Sr 0.000 0.500 0.000 1
La1 La 0.000 0.000 0.500 1
Ge1 Ge 0.500 0.500 0.000 1
Br1 Br 0.500 0.500 0.500 1
```